The following is a GGA-PBEsol calculation of crystalline IBrCl at its relaxed geometry, from Alexandria via LeMat-Bulk.

Lattice parameters (Å, degrees): 4.362 7.079 7.828 103.23 91.57 106.12
Element x y z (fractional)
I  0.000  0.000  0.000
I  0.137  0.306  0.545
Br  0.073  0.630  0.768
Br  0.205  0.914  0.279
Cl  0.461  0.499  0.365
Cl  0.753  0.072  0.718

Summary:
formation energy without anion corrections: -0.12 eV/atom
N(E_F): 0.00 states/eV/f.u.
spin magnetization: 0.00 μB/cell

The following is a GGA-PBEsol calculation of crystalline IBrCl2 at its relaxed geometry, from Alexandria via LeMat-Bulk.

Lattice parameters (Å, degrees): 9.302 9.302 9.302 135.82 135.82 64.25
Element x y z (fractional)
I  0.375  0.625  0.750
I  0.625  0.375  0.250
Br  0.125  0.875  0.250
Br  0.875  0.125  0.750
Cl  0.000  0.500  0.500
Cl  0.500  0.000  0.000
Cl  0.500  0.500  0.000
Cl  0.500  0.500  0.500

Summary:
formation energy without anion corrections: 0.40 eV/atom
N(E_F): 11.40 states/eV/f.u.
spin magnetization: 1.48 μB/cell

The following is a GGA-PBEsol calculation of crystalline SbI3Br2Cl6 at its relaxed geometry, from Alexandria via LeMat-Bulk.

Lattice parameters (Å, degrees): 7.020 7.675 7.951 93.48 93.24 100.13
Element x y z (fractional)
Sb  0.000  0.000  0.000
I  0.000  0.500  0.500
I  0.334  0.742  0.658
I  0.666  0.258  0.342
Br  0.478  0.242  0.603
Br  0.522  0.758  0.397
Cl  0.101  0.020  0.290
Cl  0.136  0.728  0.962
Cl  0.304  0.176  0.946
Cl  0.696  0.824  0.054
Cl  0.864  0.272  0.038
Cl  0.899  0.980  0.710

Summary:
formation energy without anion corrections: -0.37 eV/atom
spin magnetization: 0.00 μB/cell

The following is a GGA-PBEsol calculation of crystalline Se2IBrCl at its relaxed geometry, from Alexandria via LeMat-Bulk.

Lattice parameters (Å, degrees): 5.371 5.371 5.439 90.00 90.00 90.00
Element x y z (fractional)
Se  0.000  0.500  0.000
Se  0.500  0.000  0.000
I  0.000  0.000  0.000
Br  0.000  0.000  0.500
Cl  0.500  0.500  0.500

Summary:
formation energy without anion corrections: 0.74 eV/atom
N(E_F): 7.41 states/eV/f.u.
spin magnetization: 0.83 μB/cell

The following is a GGA-PBEsol calculation of crystalline InBrCl2 at its relaxed geometry, from Alexandria via LeMat-Bulk.

Lattice parameters (Å, degrees): 4.906 4.906 4.906 60.00 60.00 60.00
Element x y z (fractional)
In  0.000  0.000  0.000
Br  0.750  0.750  0.750
Cl  0.250  0.250  0.250
Cl  0.500  0.500  0.500

Summary:
formation energy without anion corrections: -0.28 eV/atom
N(E_F): 3.98 states/eV/f.u.
spin magnetization: 0.00 μB/cell

The following is a GGA-PBEsol calculation of crystalline InBr4Cl at its relaxed geometry, from Alexandria via LeMat-Bulk.

Lattice parameters (Å, degrees): 6.035 6.035 6.035 60.00 60.00 60.00
Element x y z (fractional)
In  0.000  0.000  0.000
Br  0.127  0.624  0.624
Br  0.624  0.127  0.624
Br  0.624  0.624  0.127
Br  0.624  0.624  0.624
Cl  0.250  0.250  0.250

Summary:
formation energy without anion corrections: 0.20 eV/atom
N(E_F): 6.51 states/eV/f.u.
spin magnetization: 0.00 μB/cell

The following is a GGA-PBEsol calculation of crystalline InBrCl2 at its relaxed geometry, from Alexandria via LeMat-Bulk.

Lattice parameters (Å, degrees): 3.938 4.103 5.970 90.00 90.00 90.00
Element x y z (fractional)
In  0.000  0.000  0.000
Br  0.500  0.000  0.500
Cl  0.000  0.500  0.500
Cl  0.500  0.500  0.000

Summary:
formation energy without anion corrections: -0.28 eV/atom
N(E_F): 2.20 states/eV/f.u.
spin magnetization: 0.00 μB/cell

The following is a GGA-PBEsol calculation of crystalline InBrCl2 at its relaxed geometry, from Alexandria via LeMat-Bulk.

Lattice parameters (Å, degrees): 3.433 3.433 7.806 90.00 90.00 90.00
Element x y z (fractional)
In  0.000  0.000  0.000
Br  0.500  0.500  0.216
Cl  0.000  0.000  0.507
Cl  0.500  0.500  0.806

Summary:
formation energy without anion corrections: -0.24 eV/atom
N(E_F): 1.58 states/eV/f.u.
spin magnetization: 0.49 μB/cell